[1]
A relaxed structure of CdIn2Hg5. Source: Alexandria via LeMat-Bulk, functional PBE.

Cell: 6.3345 6.3345 13.2771 Å, 90.00 90.00 126.82°
Closest atoms and distances in Å follow each position.
Element x y z (fractional)
Cd  0.1659  0.8341  0.7500  5 Hg 2.94-3.16, 4 In 3.26
Cd  0.8341  0.1659  0.2500  5 Hg 2.94-3.16, 4 In 3.26
In  0.3448  0.6552  0.1289  5 Hg 2.99-3.26, 1 In 3.21, 2 Cd 3.26
In  0.3448  0.6552  0.3711  5 Hg 2.99-3.26, 1 In 3.21, 2 Cd 3.26
In  0.6552  0.3448  0.6289  5 Hg 2.99-3.26, 1 In 3.21, 2 Cd 3.26
In  0.6552  0.3448  0.8711  5 Hg 2.99-3.26, 1 In 3.21, 2 Cd 3.26
Hg  0.0940  0.9060  0.2500  1 Cd 2.94, 2 In 3.26
Hg  0.1304  0.8696  0.5137  2 Hg 2.98-3.28, 3 In 3.08-3.23, 1 Cd 3.16
Hg  0.1304  0.8696  0.9863  2 Hg 2.98-3.28, 3 In 3.08-3.23, 1 Cd 3.16
Hg  0.3915  0.6085  0.6202  1 In 2.99, 1 Cd 3.08, 3 Hg 3.28-3.32
Hg  0.3915  0.6085  0.8798  1 In 2.99, 1 Cd 3.08, 3 Hg 3.28-3.32
Hg  0.6085  0.3915  0.1202  1 In 2.99, 1 Cd 3.08, 3 Hg 3.28-3.32
Hg  0.6085  0.3915  0.3798  1 In 2.99, 1 Cd 3.08, 3 Hg 3.28-3.32
Hg  0.8696  0.1304  0.0137  2 Hg 2.98-3.28, 3 In 3.08-3.23, 1 Cd 3.16
Hg  0.8696  0.1304  0.4863  2 Hg 2.98-3.28, 3 In 3.08-3.23, 1 Cd 3.16
Hg  0.9060  0.0940  0.7500  1 Cd 2.94, 2 In 3.26

Computed properties:
**Formation energy**: 0.02 eV/atom
**Space group**: Cmcm, No. 63
**Total DFT energy (no corrections)**: -15.56 eV/cell
**Total magnetization**: 0.0 μB per formula unit
**Offset from the most stable computed form**: 0.0 kJ per mole of atoms

***

[2]
A relaxed structure of CdIn2Hg. Source: Alexandria via LeMat-Bulk, functional PBE.

Cell: 6.1033 6.1033 5.0148 Å, 97.61 97.61 34.40°
Closest atoms and distances in Å follow each position.
Element x y z (fractional)
Cd  0.0000  0.0000  0.0000  5 In 3.09-3.36, 1 Hg 3.30
In  0.2533  0.2533  0.7506  4 Hg 3.09, 1 In 3.36, 1 Cd 3.36
In  0.5064  0.5064  0.5015  4 Cd 3.09, 1 Hg 3.30, 1 In 3.36
Hg  0.7530  0.7530  0.2499  5 In 3.09-3.30, 1 Cd 3.30

Computed properties:
**Formation energy**: 0.02 eV/atom
**Space group**: Cm, No. 8
**Total DFT energy (no corrections)**: -6.60 eV/cell
**Total magnetization**: 0.0 μB per formula unit
**Offset from the most stable computed form**: 1.7 kJ per mole of atoms

***

[3]
A relaxed structure of Cd3In4Hg2. Source: Alexandria via LeMat-Bulk, functional PBE.

Cell: 3.2493 3.2493 25.3572 Å, 90.00 90.00 120.00°
Closest atoms and distances in Å follow each position.
Element x y z (fractional)
Cd  0.0000  0.0000  0.0000  6 Cd 3.25, 6 Hg 3.25
Cd  0.0000  0.0000  0.3330  6 Cd 3.25, 6 In 3.34-3.38
Cd  0.6667  0.3333  0.6737  6 Cd 3.25, 6 In 3.37-3.40
In  0.0000  0.0000  0.5617  9 In 3.25-3.53, 3 Cd 3.40
In  0.0000  0.0000  0.7839  6 In 3.25, 3 Cd 3.37, 3 Hg 3.39
In  0.6667  0.3333  0.2241  1 Hg 3.03, 6 In 3.25, 3 Cd 3.34
In  0.6667  0.3333  0.4438  9 In 3.25-3.53, 3 Cd 3.38
Hg  0.6667  0.3333  0.1047  1 In 3.03, 6 Hg 3.25, 3 Cd 3.25
Hg  0.6667  0.3333  0.8952  6 Hg 3.25, 3 Cd 3.25, 3 In 3.39

Computed properties:
**Formation energy**: 0.04 eV/atom
**Space group**: P3m1, No. 156
**Total DFT energy (no corrections)**: -13.95 eV/cell
**Total magnetization**: 0.0 μB per formula unit

***

[4]
A relaxed structure of CdIn3Hg2. Source: Alexandria via LeMat-Bulk, functional PBE.

Cell: 9.7581 9.7581 9.9955 Å, 120.13 120.13 22.66°
Closest atoms and distances in Å follow each position.
Element x y z (fractional)
Cd  0.0736  0.0736  0.1874  4 Hg 3.07-3.26, 4 In 3.17-3.29, 1 Cd 3.34
Cd  0.9264  0.9264  0.8126  4 Hg 3.07-3.26, 4 In 3.17-3.29, 1 Cd 3.34
In  0.0749  0.0749  0.7034  4 Hg 3.13-3.32, 4 In 3.29-3.38
In  0.2635  0.2635  0.6480  3 Hg 3.13-3.47, 2 Cd 3.29, 5 In 3.34-3.38
In  0.4053  0.4053  0.5423  2 Cd 3.17, 7 In 3.29-3.38
In  0.5947  0.5947  0.4577  2 Cd 3.17, 7 In 3.29-3.38
In  0.7365  0.7365  0.3520  3 Hg 3.13-3.47, 2 Cd 3.29, 5 In 3.34-3.38
In  0.9251  0.9251  0.2966  4 Hg 3.13-3.32, 4 In 3.29-3.38
Hg  0.2599  0.2599  0.1308  4 Hg 3.10-3.44, 4 In 3.13-3.32
Hg  0.4136  0.4136  0.0386  4 Cd 3.07-3.26, 2 In 3.13
Hg  0.5864  0.5864  0.9614  4 Cd 3.07-3.26, 2 In 3.13
Hg  0.7401  0.7401  0.8692  4 Hg 3.10-3.44, 4 In 3.13-3.32

Computed properties:
**Formation energy**: 0.02 eV/atom
**Space group**: C2/m, No. 12
**Total DFT energy (no corrections)**: -19.18 eV/cell
**Total magnetization**: 0.0 μB per formula unit
**Offset from the most stable computed form**: 1.3 kJ per mole of atoms

***

[5]
A relaxed structure of Cd2InHg3. Source: Alexandria via LeMat-Bulk, functional PBE.

Cell: 7.9076 7.9076 6.5196 Å, 90.00 90.00 130.72°
Closest atoms and distances in Å follow each position.
Element x y z (fractional)
Cd  0.2429  0.2429  0.0000  4 Hg 3.00-3.10, 2 In 3.16, 3 Cd 3.20-3.26
Cd  0.2429  0.2429  0.5000  4 Hg 3.00-3.10, 2 In 3.16, 3 Cd 3.20-3.26
Cd  0.7571  0.7571  0.0000  4 Hg 3.00-3.10, 2 In 3.16, 3 Cd 3.20-3.26
Cd  0.7571  0.7571  0.5000  4 Hg 3.00-3.10, 2 In 3.16, 3 Cd 3.20-3.26
In  0.1521  0.8479  0.7500  4 Hg 3.01-3.30, 4 Cd 3.16
In  0.8479  0.1521  0.2500  4 Hg 3.01-3.30, 4 Cd 3.16
Hg  0.0644  0.4156  0.7500  2 Cd 3.00, 1 In 3.01, 2 Hg 3.08-3.16
Hg  0.3590  0.6410  0.2500  2 Hg 3.08, 4 Cd 3.10, 2 In 3.30
Hg  0.4156  0.0644  0.2500  2 Cd 3.00, 1 In 3.01, 2 Hg 3.08-3.16
Hg  0.5844  0.9356  0.7500  2 Cd 3.00, 1 In 3.01, 2 Hg 3.08-3.16
Hg  0.6410  0.3590  0.7500  2 Hg 3.08, 4 Cd 3.10, 2 In 3.30
Hg  0.9356  0.5844  0.2500  2 Cd 3.00, 1 In 3.01, 2 Hg 3.08-3.16

Computed properties:
**Formation energy**: 0.03 eV/atom
**Space group**: Cmcm, No. 63
**Total DFT energy (no corrections)**: -10.57 eV/cell
**Total magnetization**: 0.0 μB per formula unit
**Offset from the most stable computed form**: 0.4 kJ per mole of atoms

***

[6]
A relaxed structure of Cd8In4Hg. Source: Alexandria via LeMat-Bulk, functional PBE.

Cell: 4.8636 4.8636 15.0580 Å, 94.54 94.54 69.15°
Closest atoms and distances in Å follow each position.
Element x y z (fractional)
Cd  0.0000  0.0000  0.0000  5 Cd 3.06-3.15, 4 In 3.07-3.24
Cd  0.1836  0.1836  0.5358  6 Cd 2.94-3.15, 1 In 3.26
Cd  0.2456  0.2456  0.8499  5 In 3.04-3.38, 4 Cd 3.12-3.20
Cd  0.5008  0.5008  0.2792  2 Cd 2.91-3.02, 3 Hg 2.99-3.06, 2 In 3.17-3.22
Cd  0.5217  0.5217  0.4735  5 Cd 2.91-3.15
Cd  0.6207  0.6207  0.9285  2 In 3.05-3.06, 7 Cd 3.12-3.35
Cd  0.7598  0.7598  0.1458  3 Cd 3.02-3.35, 3 Hg 3.11-3.25, 3 In 3.15-3.20
Cd  0.8411  0.8411  0.5908  4 Cd 2.94-3.11, 2 In 2.97-3.26
In  0.3721  0.3721  0.0703  9 Cd 3.06-3.38, 1 Hg 3.24
In  0.4924  0.4924  0.6935  7 Cd 3.22-3.59, 3 In 3.24-3.30
In  0.8704  0.8704  0.3764  1 Hg 3.17, 9 Cd 3.17-3.50
In  0.8726  0.8726  0.7892  6 Cd 2.97-3.24, 3 In 3.24-3.30
Hg  0.1296  0.1296  0.2302  6 Cd 2.99-3.25, 2 In 3.17-3.24

Computed properties:
**Formation energy**: 0.05 eV/atom
**Space group**: Cm, No. 8
**Total DFT energy (no corrections)**: -17.91 eV/cell
**Total magnetization**: 0.0 μB per formula unit